(1)
{"formula": "Zr2BePd8", "functional": "GGA-PBE", "state": "optimized geometry", "ef_ev_per_atom": -0.6114, "total_magnetization_mub_per_fu": 0.00, "dos_ef_per_ev_cell": 4.748, "total_energy_ev_per_cell": -69.09, "cell": [[-2.280, 2.877, 6.683], [2.280, -2.877, 6.683], [2.280, 2.877, -6.683]], "species": ["Zr", "Zr", "Be", "Pd", "Pd", "Pd", "Pd", "Pd", "Pd", "Pd", "Pd"], "frac_coords": [[0.187, 0.187, 0.000], [0.813, 0.813, 0.000], [0.500, 0.500, 0.000], [0.120, 0.372, 0.747], [0.252, 0.000, 0.252], [0.316, 0.816, 0.500], [0.375, 0.628, 0.747], [0.625, 0.372, 0.253], [0.684, 0.184, 0.500], [0.748, 0.000, 0.748], [0.880, 0.628, 0.253]]}

(2)
{"formula": "Zr12Be3Pd5", "functional": "GGA-PBE", "state": "optimized geometry", "ef_ev_per_atom": 0.3561, "total_magnetization_mub_per_fu": 5.73, "dos_ef_per_ev_cell": 84.744, "total_energy_ev_per_cell": -530.40, "cell": [[-7.796, 7.796, 7.796], [7.796, -7.796, 7.796], [7.796, 7.796, -7.796]], "species": ["Zr", "Zr", "Zr", "Zr", "Zr", "Zr", "Zr", "Zr", "Zr", "Zr", "Zr", "Zr", "Zr", "Zr", "Zr", "Zr", "Zr", "Zr", "Zr", "Zr", "Zr", "Zr", "Zr", "Zr", "Zr", "Zr", "Zr", "Zr", "Zr", "Zr", "Zr", "Zr", "Zr", "Zr", "Zr", "Zr", "Zr", "Zr", "Zr", "Zr", "Zr", "Zr", "Zr", "Zr", "Zr", "Zr", "Zr", "Zr", "Be", "Be", "Be", "Be", "Be", "Be", "Be", "Be", "Be", "Be", "Be", "Be", "Pd", "Pd", "Pd", "Pd", "Pd", "Pd", "Pd", "Pd", "Pd", "Pd", "Pd", "Pd", "Pd", "Pd", "Pd", "Pd", "Pd", "Pd", "Pd", "Pd"], "frac_coords": [[0.063, 0.230, 0.134], [0.063, 0.333, 0.929], [0.071, 0.634, 0.403], [0.071, 0.937, 0.667], [0.097, 0.730, 0.667], [0.097, 0.866, 0.429], [0.134, 0.063, 0.230], [0.134, 0.571, 0.903], [0.167, 0.230, 0.597], [0.167, 0.437, 0.571], [0.230, 0.134, 0.063], [0.230, 0.597, 0.167], [0.270, 0.333, 0.903], [0.270, 0.437, 0.366], [0.333, 0.903, 0.270], [0.333, 0.929, 0.063], [0.366, 0.270, 0.437], [0.366, 0.597, 0.929], [0.403, 0.071, 0.634], [0.403, 0.833, 0.770], [0.429, 0.097, 0.866], [0.429, 0.833, 0.563], [0.437, 0.366, 0.270], [0.437, 0.571, 0.167], [0.563, 0.429, 0.833], [0.563, 0.634, 0.730], [0.571, 0.167, 0.437], [0.571, 0.903, 0.134], [0.597, 0.167, 0.230], [0.597, 0.929, 0.366], [0.634, 0.403, 0.071], [0.634, 0.730, 0.563], [0.667, 0.071, 0.937], [0.667, 0.097, 0.730], [0.730, 0.563, 0.634], [0.730, 0.667, 0.097], [0.770, 0.403, 0.833], [0.770, 0.866, 0.937], [0.833, 0.563, 0.429], [0.833, 0.770, 0.403], [0.866, 0.429, 0.097], [0.866, 0.937, 0.770], [0.903, 0.134, 0.571], [0.903, 0.270, 0.333], [0.929, 0.063, 0.333], [0.929, 0.366, 0.597], [0.937, 0.667, 0.071], [0.937, 0.770, 0.866], [0.125, 0.250, 0.375], [0.125, 0.375, 0.750], [0.250, 0.375, 0.125], [0.250, 0.875, 0.625], [0.375, 0.125, 0.250], [0.375, 0.750, 0.125], [0.625, 0.250, 0.875], [0.625, 0.875, 0.750], [0.750, 0.125, 0.375], [0.750, 0.625, 0.875], [0.875, 0.625, 0.250], [0.875, 0.750, 0.625], [0.000, 0.000, 0.000], [0.000, 0.000, 0.500], [0.000, 0.500, 0.000], [0.000, 0.500, 0.500], [0.125, 0.750, 0.875], [0.125, 0.875, 0.250], [0.250, 0.125, 0.875], [0.250, 0.625, 0.375], [0.375, 0.250, 0.625], [0.375, 0.625, 0.750], [0.500, 0.000, 0.000], [0.500, 0.000, 0.500], [0.500, 0.500, 0.000], [0.500, 0.500, 0.500], [0.625, 0.375, 0.250], [0.625, 0.750, 0.375], [0.750, 0.375, 0.625], [0.750, 0.875, 0.125], [0.875, 0.125, 0.750], [0.875, 0.250, 0.125]]}

(3)
{"formula": "Zr6Be15Pd8", "functional": "GGA-PBE", "state": "optimized geometry", "ef_ev_per_atom": -0.4723, "total_magnetization_mub_per_fu": 0.00, "dos_ef_per_ev_cell": 23.957, "total_energy_ev_per_cell": -162.42, "cell": [[0.000, 5.733, 5.733], [5.733, 0.000, 5.733], [5.733, 5.733, 0.000]], "species": ["Zr", "Zr", "Zr", "Zr", "Zr", "Zr", "Be", "Be", "Be", "Be", "Be", "Be", "Be", "Be", "Be", "Be", "Be", "Be", "Be", "Be", "Be", "Pd", "Pd", "Pd", "Pd", "Pd", "Pd", "Pd", "Pd"], "frac_coords": [[0.198, 0.198, 0.802], [0.198, 0.802, 0.198], [0.198, 0.802, 0.802], [0.802, 0.198, 0.198], [0.802, 0.198, 0.802], [0.802, 0.802, 0.198], [0.000, 0.000, 0.500], [0.000, 0.500, 0.000], [0.000, 0.500, 0.500], [0.175, 0.175, 0.175], [0.175, 0.175, 0.475], [0.175, 0.475, 0.175], [0.475, 0.175, 0.175], [0.500, 0.000, 0.000], [0.500, 0.000, 0.500], [0.500, 0.500, 0.000], [0.500, 0.500, 0.500], [0.525, 0.825, 0.825], [0.825, 0.525, 0.825], [0.825, 0.825, 0.525], [0.825, 0.825, 0.825], [0.125, 0.625, 0.625], [0.375, 0.375, 0.375], [0.375, 0.375, 0.875], [0.375, 0.875, 0.375], [0.625, 0.125, 0.625], [0.625, 0.625, 0.125], [0.625, 0.625, 0.625], [0.875, 0.375, 0.375]]}

(4)
{"formula": "ZrBe4Pd", "functional": "GGA-PBE", "state": "optimized geometry", "ef_ev_per_atom": -0.2138, "total_magnetization_mub_per_fu": 1.84, "dos_ef_per_ev_cell": 3.293, "total_energy_ev_per_cell": -29.93, "cell": [[0.000, 3.275, 3.275], [3.275, 0.000, 3.275], [3.275, 3.275, 0.000]], "species": ["Zr", "Be", "Be", "Be", "Be", "Pd"], "frac_coords": [[0.000, 0.000, 0.000], [0.120, 0.627, 0.627], [0.627, 0.120, 0.627], [0.627, 0.627, 0.120], [0.627, 0.627, 0.627], [0.250, 0.250, 0.250]]}